Record 1
# KRbMn3

A geometry-optimized KRbMn3 structure (PBE, Alexandria via LeMat-Bulk).

Geometry as POSCAR:
```
KRbMn3
1.0
6.2018 0.0000 0.0000
0.0000 6.2018 0.0000
0.0000 0.0000 6.2018
K Rb Mn
1 1 3
direct
0.0000 0.0000 0.0000
0.5000 0.5000 0.5000
0.0000 0.5000 0.5000
0.5000 0.0000 0.5000
0.5000 0.5000 0.0000
```

Values from the calculation:
**Formation enthalpy at 0 K**: 9.41 eV/f.u.
**Total magnetization**: 13.372 μB/cell
**Space group**: Pm-3m (221)
**E above lowest polymorph**: 0.097 eV per atom

Record 2
# ZrTcB2Pt

A geometry-optimized ZrTcB2Pt structure (PBE, Alexandria via LeMat-Bulk).

Geometry as POSCAR:
```
ZrTcB2Pt
1.0
4.2772 0.0000 0.0000
0.0000 4.2772 0.0000
0.0000 0.0000 4.9155
Zr Tc B Pt
1 1 2 1
direct
0.0000 0.0000 0.0000
0.5000 0.5000 0.5000
0.0000 0.5000 0.0000
0.5000 0.0000 0.0000
0.0000 0.0000 0.5000
```

Values from the calculation:
**Formation enthalpy at 0 K**: 9.76 eV/f.u.
**Total magnetization**: 0.398 μB/cell
**Space group**: P4/mmm (123)

Record 3
# SrTl2Te2

A geometry-optimized SrTl2Te2 structure (PBE, Alexandria via LeMat-Bulk).

Geometry as POSCAR:
```
SrTl2Te2
1.0
8.9044 0.0000 0.0000
0.0000 8.9044 0.0000
0.0000 0.0000 4.8588
Sr Tl Te
2 4 4
direct
0.0000 0.0000 0.0000
0.5000 0.5000 0.0000
0.1276 0.3724 0.5000
0.3724 0.8724 0.5000
0.6276 0.1276 0.5000
0.8724 0.6276 0.5000
0.1802 0.6802 0.0000
0.3198 0.1802 0.0000
0.6802 0.8198 0.0000
0.8198 0.3198 0.0000
```

Values from the calculation:
**Total magnetization**: 0.000 μB/cell
**Space group**: P4/mbm (127)
**E above lowest polymorph**: 0.238 eV per atom
**Formation energy from raw total energies**: -0.628 eV per atom